[1]
DFT (PBE) results for crystalline Ac2Pb2N at its relaxed geometry.

Cell: 4.0610 4.0610 39.8598 Å, 90.00 90.00 90.00°
Space group I4_1/amd (No. 141, origin choice 2)
One atom of each set of equivalent atoms:
Ac1 0.0000 0.2500 0.0894
Pb1 0.0000 0.2500 0.2210
N1 0.0000 0.2500 0.8750

Calculated values
ρ ... 8.916 g/cm³
Energy relative to the elements, uncorrected ... -0.547 eV per atom


[2]
DFT (PBE) results for crystalline HfTlIn3 at its relaxed geometry.

Cell: 5.6229 5.6229 5.6229 Å, 90.00 90.00 90.00°
Space group Pm-3m (No. 221)
One atom of each set of equivalent atoms:
Hf1 0.0000 0.0000 0.0000
Tl1 0.5000 0.5000 0.5000
In1 0.0000 0.0000 0.5000

Calculated values
Relative energy among the computed polymorphs ... 0.000 eV per atom
ρ ... 6.793 g/cm³


[3]
DFT (PBE) results for crystalline Zn2In2Cu at its relaxed geometry.

Cell: 7.0375 7.0375 4.2005 Å, 90.00 90.00 90.00°
Space group P4/mbm (No. 127)
One atom of each set of equivalent atoms:
Zn1 0.1392 0.3608 0.0000
In1 0.1657 0.6657 0.5000
Cu1 0.0000 0.0000 0.5000

Calculated values
Relative energy among the computed polymorphs ... 0.089 eV per atom
ρ ... 6.769 g/cm³


[4]
DFT (PBE) results for crystalline Pa2BeFe2 at its relaxed geometry.

Cell: 4.0470 5.4227 7.3335 Å, 90.00 90.00 90.00°
Space group Immm (No. 71)
One atom of each set of equivalent atoms:
Pa1 0.0000 0.0000 0.1978
Be1 0.0000 0.5000 0.0000
Fe1 0.0000 0.2374 0.5000

Calculated values
Raw total energy ... -8.1482 eV per atom
ρ ... 12.026 g/cm³


[5]
DFT (PBE) results for crystalline Th3BiOsC at its relaxed geometry.

Cell: 8.9527 4.2611 9.6354 Å, 90.00 104.25 90.00°
Space group P2_1/m (No. 11)
One atom of each set of equivalent atoms:
Th1 0.0553 0.2500 0.3589
Th2 0.3279 0.2500 0.9723
Th3 0.3769 0.7500 0.6494
Bi1 0.3114 0.7500 0.2673
Os1 0.1605 0.2500 0.6536
C1 0.4137 0.7500 0.8970

Calculated values
Raw total energy ... -8.0751 eV per atom
ρ ... 10.323 g/cm³


[6]
DFT (PBE) results for crystalline NbPPd at its relaxed geometry.

Cell: 9.7444 3.4586 5.7224 Å, 90.00 101.98 90.00°
Space group Cm (No. 8)
One atom of each set of equivalent atoms:
Nb1 0.0000 0.0000 0.0000
Nb2 0.1699 0.5000 0.7108
P1 0.1549 0.5000 0.2607
P2 0.3642 0.0000 0.7093
Pd1 0.2904 0.0000 0.1079
Pd2 0.4343 0.5000 0.4644

Calculated values
Raw total energy ... -7.4325 eV per atom
ρ ... 8.108 g/cm³


[7]
DFT (PBE) results for crystalline Ta4NbRe at its relaxed geometry.

Cell: 4.4464 4.4464 6.2949 Å, 90.00 90.00 90.00°
Space group P4/mmm (No. 123)
One atom of each set of equivalent atoms:
Ta1 0.0000 0.5000 0.2436
Nb1 0.0000 0.0000 0.5000
Re1 0.5000 0.5000 0.0000

Calculated values
Relative energy among the computed polymorphs ... 0.766 eV per atom
ρ ... 13.381 g/cm³